Material: AlFeTe2
Method: DFT, GGA-PBE
State: relaxed

```
4
Lattice="4.3956 -0.0037 0.0373 2.9357 3.2715 0.0373 1.1460 0.5108 6.8398" Properties=species:S:1:pos:R:3 pbc="T T T"
Al 4.3015 1.9174 2.8420
Te 7.3148 3.2605 0.8874
Fe 2.2028 0.9819 2.3464
Te 6.2281 2.7761 4.3705
```

Values from the calculation:
formation energy (no corrections): -0.04 eV/f.u.
space group: Cm, No. 8
D(E_F): 1.46 states/eV per cell

---

Material: Pm12Er5Sc2
Method: DFT, GGA-PBE
State: relaxed

```
19
Lattice="-5.2122 -1.8718 -4.2735 7.8771 -8.6245 -0.1046 -2.2634 -6.3027 5.5211" Properties=species:S:1:pos:R:3 pbc="T T T"
Pm -4.1908 -7.3055 -0.2126
Pm 1.1962 -8.1541 -3.6126
Pm 2.6139 -10.1862 4.1070
Pm -0.7947 -8.6448 4.7556
Pm -2.2125 -6.6128 -2.9640
Er 3.5096 -7.3451 -1.0634
Pm -2.7711 -3.7705 -0.6940
Er 1.4762 -7.9661 1.6887
Pm 4.5923 -9.4935 1.3556
Pm 0.0342 -11.1126 1.9919
Sc -3.8315 -1.3760 -3.1415
Pm -1.6431 -6.3906 1.8763
Pm 0.3672 -5.6864 -0.8489
Er -1.0748 -8.8329 -0.5457
Er -3.1082 -9.4539 2.2064
Sc -1.3807 -0.4958 -1.1321
Pm 3.1725 -13.0285 1.8370
Pm 2.0445 -10.4084 -0.7333
Er -1.1317 -3.1514 2.7606
```

Values from the calculation:
distance to the lowest polymorph of the same formula: 0 meV/atom
energy of formation from the pure elements: 2.84 eV per formula unit
space group: C2/m, No. 12
D(E_F): 28.29 states/eV per cell

---

Material: ZrIN2O
Method: DFT, GGA-PBE
State: relaxed

```
5
Lattice="-1.3714 2.7378 2.6075 2.5758 -1.3539 2.7763 4.4332 4.1913 -2.0691" Properties=species:S:1:pos:R:3 pbc="T T T"
N 1.2879 -0.6769 1.3881
N -0.6857 1.3689 1.3038
O 2.8188 2.7876 1.6573
I 2.2166 2.0956 -1.0346
Zr 0.0000 0.0000 0.0000
```

Values from the calculation:
formation energy (no corrections): 4.27 eV/f.u.
space group: P4/mmm, No. 123
D(E_F): 4.29 states/eV per cell

---

Material: LiTbPd4
Method: DFT, GGA-PBE
State: relaxed

```
12
Lattice="4.0124 0.0000 -0.0642 0.0000 7.9407 0.0000 -1.9153 0.0000 6.3661" Properties=species:S:1:pos:R:3 pbc="T T T"
Tb 2.0656 1.9852 4.2573
Li 0.0241 1.9852 1.7796
Tb 0.0315 5.9555 2.0446
Pd 0.0600 4.0758 4.2482
Pd 0.0000 0.0000 0.0000
Pd 0.0600 7.8352 4.2482
Pd 0.0000 3.9703 0.0000
Pd 0.0915 5.9555 6.3231
Pd 2.0371 3.8649 2.0537
Pd 2.0371 0.1055 2.0537
Li 2.0731 5.9555 4.5223
Pd 2.0056 1.9852 -0.0211
```

Values from the calculation:
distance to the lowest polymorph of the same formula: 0 meV/atom
energy of formation from the pure elements: -3.83 eV per formula unit
space group: P2_1/m, No. 11
D(E_F): 4.80 states/eV per cell

---

Material: PuThPa2As4
Method: DFT, GGA-PBE
State: relaxed

```
8
Lattice="-3.4198 -2.2687 -0.6177 3.6889 -5.9803 1.5415 -0.4007 -1.3139 7.0446" Properties=species:S:1:pos:R:3 pbc="T T T"
Th -0.2662 -5.4384 7.5065
As -1.1141 -3.5703 5.3396
As -2.6373 -4.0411 1.5600
Pa -1.9103 -1.7913 3.2135
Pu 1.6440 -3.6471 4.2931
As 0.9824 -5.9926 2.6288
As 2.5056 -5.5218 6.4084
Pa -0.4007 -1.3139 7.0446
```

Values from the calculation:
energy of formation from the pure elements: -9.18 eV per formula unit
space group: P2/m, No. 10
D(E_F): 13.30 states/eV per cell

---

Material: TaCo
Method: DFT, GGA-PBE
State: relaxed

```
8
Lattice="4.8937 0.0000 0.0000 0.0000 4.8937 0.0000 0.0000 0.0000 4.8937" Properties=species:S:1:pos:R:3 pbc="T T T"
Ta 0.4278 0.4278 0.4278
Ta 4.4659 2.8746 2.0191
Ta 2.8746 2.0191 4.4659
Co 4.3947 0.4989 2.9458
Co 0.4989 2.9458 4.3947
Ta 2.0191 4.4659 2.8746
Co 2.9458 4.3947 0.4989
Co 1.9479 1.9479 1.9479
```

Values from the calculation:
energy of formation from the pure elements: 0.02 eV per formula unit
space group: P2_13, No. 198
D(E_F): 11.00 states/eV per cell

---

Material: TaAg3Te
Method: DFT, GGA-PBE
State: relaxed

```
5
Lattice="-4.0201 3.1586 -0.8599 -3.2422 -3.6537 1.7365 0.4520 1.8843 4.8086" Properties=species:S:1:pos:R:3 pbc="T T T"
Ta 0.0000 0.0000 0.0000
Ag 0.2260 0.9421 2.4043
Ag -1.6211 -1.8269 0.8682
Te -3.4052 0.6946 2.8426
Ag -2.0100 1.5793 -0.4299
```

Values from the calculation:
distance to the lowest polymorph of the same formula: 0 meV/atom
formation energy (no corrections): 7.02 eV/f.u.
space group: Pm-3m, No. 221
D(E_F): 5.63 states/eV per cell

---

Material: SrMgTc2
Method: DFT, GGA-PBE
State: relaxed

```
4
Lattice="-2.1964 -3.3013 -1.6381 1.4560 -4.0049 0.4972 -3.3829 -2.9250 4.8225" Properties=species:S:1:pos:R:3 pbc="T T T"
Tc -2.8979 -2.8492 4.0180
Sr -0.9422 -2.5458 0.7727
Tc -3.2947 -7.7052 3.0966
Mg -2.4331 -5.1717 2.4576
```

Values from the calculation:
energy of formation from the pure elements: 1.02 eV per formula unit
space group: R3m, No. 160
D(E_F): 1.98 states/eV per cell

---

Material: BaCdSe2Br
Method: DFT, GGA-PBE
State: relaxed

```
5
Lattice="-0.6822 6.1007 -2.1388 -1.9658 -2.2445 -5.7755 -5.9056 0.0390 1.9950" Properties=species:S:1:pos:R:3 pbc="T T T"
Cd -4.2768 1.9476 -2.9596
Ba 0.0000 0.0000 0.0000
Br -2.9528 0.0195 0.9975
Se -0.3411 3.0504 -1.0694
Se -0.9829 -1.1223 -2.8877
```

Values from the calculation:
distance to the lowest polymorph of the same formula: 757 meV/atom
formation energy (no corrections): -1.12 eV/f.u.
space group: P4/mmm, No. 123
D(E_F): 5.39 states/eV per cell

---

Material: PuIn4Ni2
Method: DFT, GGA-PBE
State: relaxed

```
28
Lattice="4.4351 0.0000 0.0000 0.0000 7.1090 0.0000 0.0000 0.0000 18.1298" Properties=species:S:1:pos:R:3 pbc="T T T"
Ni 1.1088 3.8764 5.0863
In 3.3263 5.3553 14.5966
In 3.3263 5.3082 5.5317
Ni 1.1088 6.7871 14.1512
Ni 1.1088 5.3927 9.8409
Ni 3.3263 1.7163 8.2889
In 1.1088 1.7537 3.5332
In 3.3263 4.6278 17.5356
Ni 1.1088 5.2708 0.7760
Pu 3.3263 6.8459 11.5927
In 1.1088 3.6158 7.7643
Pu 1.1088 3.2914 15.6020
In 1.1088 1.0733 9.6591
In 3.3263 6.0357 8.4707
Pu 3.3263 3.8176 2.5278
In 3.3263 0.0613 1.3006
In 1.1088 1.8008 12.5982
In 1.1088 2.4812 0.5942
Ni 3.3263 0.3219 3.9786
In 3.3263 1.1625 14.7599
In 1.1088 7.0477 16.8292
In 3.3263 3.4932 10.3655
Pu 1.1088 0.2631 6.5371
Ni 3.3263 1.8382 17.3538
In 3.3263 2.3920 5.6950
In 1.1088 4.7170 12.4348
In 1.1088 5.9465 3.3699
Ni 3.3263 3.2326 13.0435
```

Values from the calculation:
energy of formation from the pure elements: -1.14 eV per formula unit
space group: Pnma, No. 62
D(E_F): 64.37 states/eV per cell